# 1
# Nb2PtSe7, relaxed, DFT PBE-GGA
# Volume: 463.4 Å³/cell
data_Nb2PtSe7
_chemical_formula_sum 'Nb4 Pt2 Se14'
_cell_length_a 7.495
_cell_length_b 7.495
_cell_length_c 18.910
_cell_angle_alpha 108.19
_cell_angle_beta 108.19
_cell_angle_gamma 27.43
_space_group_name_H-M_alt 'P 1'
_space_group_IT_number 1
_space_group_name_Hall 'P 1'
loop_
_atom_site_label
_atom_site_fract_x
_atom_site_fract_y
_atom_site_fract_z
_atom_site_occupancy
Nb1 0.231 0.231 0.092 1
Nb2 0.152 0.152 0.399 1
Nb3 0.848 0.848 0.601 1
Nb4 0.769 0.769 0.908 1
Pt1 0.690 0.690 0.209 1
Pt2 0.310 0.310 0.791 1
Se1 0.357 0.357 0.012 1
Se2 0.079 0.079 0.129 1
Se3 0.847 0.847 0.172 1
Se4 0.570 0.570 0.294 1
Se5 0.263 0.263 0.305 1
Se6 0.528 0.528 0.420 1
Se7 0.796 0.796 0.446 1
Se8 0.204 0.204 0.554 1
Se9 0.472 0.472 0.580 1
Se10 0.737 0.737 0.695 1
Se11 0.430 0.430 0.706 1
Se12 0.153 0.153 0.828 1
Se13 0.921 0.921 0.871 1
Se14 0.643 0.643 0.988 1

# 2
# NbTlPtSe3, relaxed, DFT PBE-GGA
# Volume: 282.6 Å³/cell
data_NbTlPtSe3
_chemical_formula_sum 'Nb2 Tl2 Pt2 Se6'
_cell_length_a 8.285
_cell_length_b 3.681
_cell_length_c 10.143
_cell_angle_alpha 90.00
_cell_angle_beta 114.00
_cell_angle_gamma 90.00
_space_group_name_H-M_alt 'P 1'
_space_group_IT_number 1
_space_group_name_Hall 'P 1'
loop_
_atom_site_label
_atom_site_fract_x
_atom_site_fract_y
_atom_site_fract_z
_atom_site_occupancy
Nb1 0.459 0.250 0.174 1
Nb2 0.541 0.750 0.826 1
Pt1 0.438 0.750 0.379 1
Pt2 0.562 0.250 0.621 1
Se1 0.667 0.750 0.121 1
Se2 0.215 0.750 0.126 1
Se3 0.698 0.250 0.434 1
Se4 0.302 0.750 0.566 1
Se5 0.785 0.250 0.874 1
Se6 0.333 0.250 0.879 1
Tl1 0.015 0.250 0.295 1
Tl2 0.985 0.750 0.705 1

# 3
# Nb2Si3Pt2, relaxed, DFT PBE-GGA
# Volume: 114.3 Å³/cell
data_Nb2Si3Pt2
_chemical_formula_sum 'Nb2 Si3 Pt2'
_cell_length_a 8.418
_cell_length_b 8.418
_cell_length_c 8.418
_cell_angle_alpha 27.77
_cell_angle_beta 27.77
_cell_angle_gamma 27.77
_space_group_name_H-M_alt 'P 1'
_space_group_IT_number 1
_space_group_name_Hall 'P 1'
loop_
_atom_site_label
_atom_site_fract_x
_atom_site_fract_y
_atom_site_fract_z
_atom_site_occupancy
Nb1 0.248 0.248 0.248 1
Nb2 0.752 0.752 0.752 1
Pt1 0.001 0.001 0.001 1
Pt2 0.498 0.498 0.498 1
Si1 0.383 0.383 0.383 1
Si2 0.636 0.636 0.636 1
Si3 0.856 0.856 0.856 1

# 4
# NbSnPt2, relaxed, DFT PBE-GGA
# Volume: 69.9 Å³/cell
data_NbSnPt2
_chemical_formula_sum 'Nb1 Sn1 Pt2'
_cell_length_a 4.623
_cell_length_b 4.623
_cell_length_c 4.623
_cell_angle_alpha 60.00
_cell_angle_beta 60.00
_cell_angle_gamma 60.00
_space_group_name_H-M_alt 'P 1'
_space_group_IT_number 1
_space_group_name_Hall 'P 1'
loop_
_atom_site_label
_atom_site_fract_x
_atom_site_fract_y
_atom_site_fract_z
_atom_site_occupancy
Nb1 0.250 0.250 0.250 1
Pt1 0.000 0.000 0.000 1
Pt2 0.750 0.750 0.750 1
Sn1 0.500 0.500 0.500 1

# 5
# Nb2Sn3Pt2, relaxed, DFT PBE-GGA
# Volume: 144.3 Å³/cell
data_Nb2Sn3Pt2
_chemical_formula_sum 'Nb2 Sn3 Pt2'
_cell_length_a 8.427
_cell_length_b 8.427
_cell_length_c 8.427
_cell_angle_alpha 31.41
_cell_angle_beta 31.41
_cell_angle_gamma 31.41
_space_group_name_H-M_alt 'P 1'
_space_group_IT_number 1
_space_group_name_Hall 'P 1'
loop_
_atom_site_label
_atom_site_fract_x
_atom_site_fract_y
_atom_site_fract_z
_atom_site_occupancy
Nb1 0.248 0.248 0.248 1
Nb2 0.751 0.751 0.751 1
Pt1 0.502 0.502 0.502 1
Pt2 0.999 0.999 0.999 1
Sn1 0.385 0.385 0.385 1
Sn2 0.627 0.627 0.627 1
Sn3 0.863 0.863 0.863 1

# 6
# Nb6SnPt, relaxed, DFT PBE-GGA
# Volume: 145.4 Å³/cell
data_Nb6SnPt
_chemical_formula_sum 'Nb6 Sn1 Pt1'
_cell_length_a 5.259
_cell_length_b 5.259
_cell_length_c 5.259
_cell_angle_alpha 90.00
_cell_angle_beta 90.00
_cell_angle_gamma 90.00
_space_group_name_H-M_alt 'P 1'
_space_group_IT_number 1
_space_group_name_Hall 'P 1'
loop_
_atom_site_label
_atom_site_fract_x
_atom_site_fract_y
_atom_site_fract_z
_atom_site_occupancy
Nb1 0.500 0.244 0.000 1
Nb2 0.500 0.756 0.000 1
Nb3 0.000 0.500 0.244 1
Nb4 0.244 0.000 0.500 1
Nb5 0.756 0.000 0.500 1
Nb6 0.000 0.500 0.756 1
Pt1 0.000 0.000 0.000 1
Sn1 0.500 0.500 0.500 1

# 7
# Sr6Nb2Pt, relaxed, DFT PBE-GGA
# Volume: 464.6 Å³/cell
data_Sr6Nb2Pt
_chemical_formula_sum 'Sr6 Nb2 Pt1'
_cell_length_a 5.858
_cell_length_b 5.858
_cell_length_c 13.539
_cell_angle_alpha 90.00
_cell_angle_beta 90.00
_cell_angle_gamma 90.00
_space_group_name_H-M_alt 'P 1'
_space_group_IT_number 1
_space_group_name_Hall 'P 1'
loop_
_atom_site_label
_atom_site_fract_x
_atom_site_fract_y
_atom_site_fract_z
_atom_site_occupancy
Nb1 0.500 0.500 0.264 1
Nb2 0.500 0.500 0.736 1
Pt1 0.000 0.000 0.000 1
Sr1 0.500 0.500 0.000 1
Sr2 0.500 0.000 0.155 1
Sr3 0.000 0.500 0.155 1
Sr4 0.500 0.500 0.500 1
Sr5 0.500 0.000 0.845 1
Sr6 0.000 0.500 0.845 1

# 8
# SrNbPt, relaxed, DFT PBE-GGA
# E above lowest polymorph: 21.64 kcal/mol of atoms
# Volume: 80.2 Å³/cell
data_SrNbPt
_chemical_formula_sum 'Sr1 Nb1 Pt1'
_cell_length_a 4.841
_cell_length_b 4.841
_cell_length_c 4.841
_cell_angle_alpha 60.00
_cell_angle_beta 60.00
_cell_angle_gamma 60.00
_space_group_name_H-M_alt 'P 1'
_space_group_IT_number 1
_space_group_name_Hall 'P 1'
loop_
_atom_site_label
_atom_site_fract_x
_atom_site_fract_y
_atom_site_fract_z
_atom_site_occupancy
Nb1 0.250 0.250 0.250 1
Pt1 0.750 0.750 0.750 1
Sr1 0.000 0.000 0.000 1

Number 1: DFT total energy -5.694 eV per atom. Number 2: DFT total energy -5.380 eV per atom. Number 3: DFT total energy -7.319 eV per atom. Number 4: DFT total energy -6.842 eV per atom. Number 5: DFT total energy -6.229 eV per atom. Number 6: DFT total energy -9.078 eV per atom. Number 7: DFT total energy -3.073 eV per atom. Number 8: DFT total energy -4.660 eV per atom.